InW2F | PBE+U | optimized geometry

The energy relative to the lowest polymorph listed for this composition comes out at 41.8 kJ per mole of atoms. Its raw total energy is -3.60 eV per atom. The density is 12449 kg/m3. The total moment is 0.00 μB per atom. For the volume, the calculation gives 67 Å³/f.u.

It has space group Fm-3m (No. 225), with a = 6.444 Å, b = 6.444 Å, c = 6.444 Å, α = 90.00°, β = 90.00° and γ = 90.00°. The inequivalent atoms are In at (0.000, 0.000, 0.000), W at (0.250, 0.250, 0.250) and F at (0.000, 0.000, 0.500).